(1)
AlMoBr SCAN PBEsol geometry; energy relative to the elements, uncorrected = 1.345 eV per atom; symmetry = F-43m, No. 216; total energy = -58.1 eV for the cell shown; total moment = 1.935 μB per cell; E above lowest polymorph = 1.020 eV per atom
1.0
4.3375 0.0000 0.0000
2.1687 3.7564 0.0000
2.1687 1.2521 3.5415
Br Al Mo
1 1 1
direct
0.2500 0.2500 0.2500 Br
0.5000 0.5000 0.5000 Al
0.0000 0.0000 0.0000 Mo


(2)
Be3Cu4 SCAN PBEsol geometry; symmetry = I4/mmm, No. 139; total energy = -74.7 eV for the cell shown; total moment = 0.000 μB per cell; E above lowest polymorph = 0.000 eV per atom; ΔE_f = -0.118 eV per atom
1.0
2.6264 0.0000 0.0000
0.0000 2.6264 0.0000
-1.3132 -1.3132 9.8681
Be Cu
3 4
direct
0.0000 0.0000 0.0000 Be
0.2805 0.2805 0.5610 Be
0.7195 0.7195 0.4390 Be
0.8463 0.8463 0.6927 Cu
0.4327 0.4327 0.8655 Cu
0.1537 0.1537 0.3073 Cu
0.5673 0.5673 0.1345 Cu


(3)
TaWCl2 SCAN PBEsol geometry; energy relative to the elements, uncorrected = -0.283 eV per atom; symmetry = R3m, No. 160; total energy = -153.4 eV for the cell shown; total moment = 0.000 μB per cell
1.0
2.9805 0.0000 0.0000
1.4902 2.5812 0.0000
1.4902 0.8604 9.4781
Cl W Ta
2 1 1
direct
0.7690 0.7690 0.6931 Cl
0.9803 0.9803 0.0591 Cl
0.2519 0.2519 0.2443 W
0.4988 0.4988 0.5035 Ta


(4)
KRb2ZnF SCAN PBEsol geometry; energy relative to the elements, uncorrected = -0.993 eV per atom; symmetry = P4/mmm, No. 123; total energy = -71.8 eV for the cell shown; total moment = 0.000 μB per cell
1.0
5.3472 0.0000 0.0000
0.0000 5.6417 0.0000
0.0000 0.0000 5.6417
Rb Zn K F
2 1 1 1
direct
0.0000 0.5000 0.0000 Rb
0.0000 0.0000 0.5000 Rb
0.5000 0.5000 0.5000 Zn
0.5000 0.0000 0.0000 K
0.0000 0.0000 0.0000 F


(5)
LiMg SCAN PBEsol geometry; symmetry = P2_13, No. 198; total energy = -29.4 eV for the cell shown; total moment = 0.018 μB per cell; ΔE_f = 0.010 eV per atom
1.0
5.4647 0.0000 0.0000
0.0000 5.4647 0.0000
0.0000 0.0000 5.4647
Mg Li
4 4
direct
0.9022 0.5978 0.4022 Mg
0.4022 0.9022 0.5978 Mg
0.0978 0.0978 0.0978 Mg
0.5978 0.4022 0.9022 Mg
0.0978 0.5978 0.9022 Li
0.9022 0.0978 0.5978 Li
0.5978 0.9022 0.0978 Li
0.4022 0.4022 0.4022 Li


(6)
Ti2Si2P SCAN PBEsol geometry; energy relative to the elements, uncorrected = -0.535 eV per atom; symmetry = P4/mbm, No. 127; total energy = -130.3 eV for the cell shown; total moment = 0.000 μB per cell
1.0
-2.6779 -0.7919 -2.3504
-2.7208 -3.8264 4.3890
-3.4162 4.9720 2.2170
Si Ti P
4 4 2
direct
0.5000 0.3713 0.1287 Si
0.5000 0.6287 0.8713 Si
0.5000 0.1287 0.6287 Si
0.5000 0.8713 0.3713 Si
0.0000 0.1747 0.3253 Ti
0.0000 0.3253 0.8253 Ti
0.0000 0.6747 0.1747 Ti
0.0000 0.8253 0.6747 Ti
0.0000 0.5000 0.5000 P
0.0000 0.0000 0.0000 P


(7)
Mg2CdW SCAN PBEsol geometry; symmetry = C2/m, No. 12; total energy = -108.3 eV for the cell shown; total moment = 0.000 μB per cell; ΔE_f = 0.425 eV per atom
1.0
2.8866 0.0000 0.0000
-1.4433 4.9459 -0.0033
0.0000 -1.1217 5.0789
W Mg Cd
1 2 1
direct
0.0000 0.0000 0.5000 W
0.7502 0.5003 0.7338 Mg
0.2498 0.4997 0.2662 Mg
0.5000 0.0000 0.0000 Cd


(8)
In2CuPO SCAN PBEsol geometry; energy relative to the elements, uncorrected = -0.099 eV per atom; symmetry = P4/mmm, No. 123; total energy = -99.1 eV for the cell shown; total moment = 0.000 μB per cell
1.0
3.6860 0.0000 0.0000
0.0000 4.8464 0.0000
0.0000 0.0000 4.8464
In P O Cu
2 1 1 1
direct
0.0000 0.5000 0.0000 In
0.0000 0.0000 0.5000 In
0.5000 0.5000 0.5000 P
0.0000 0.0000 0.0000 O
0.5000 0.0000 0.0000 Cu


(9)
SeBr3 SCAN PBEsol geometry; energy relative to the elements, uncorrected = 0.731 eV per atom; symmetry = Fm-3m, No. 225; total energy = -75.5 eV for the cell shown; total moment = 0.879 μB per cell
1.0
5.0394 0.0000 0.0000
2.5197 4.3642 0.0000
2.5197 1.4547 4.1146
Br Se
3 1
direct
0.7500 0.7500 0.7500 Br
0.5000 0.5000 0.5000 Br
0.2500 0.2500 0.2500 Br
0.0000 0.0000 0.0000 Se


(10)
BaSiPt2S SCAN PBEsol geometry; energy relative to the elements, uncorrected = 1.736 eV per atom; symmetry = P4/mmm, No. 123; total energy = -190.9 eV for the cell shown; total moment = 0.002 μB per cell
1.0
5.1924 0.0000 0.0000
0.0000 5.1924 0.0000
0.0000 0.0000 5.5706
S Pt Ba Si
1 2 1 1
direct
0.0000 0.0000 0.5000 S
0.0000 0.5000 0.0000 Pt
0.5000 0.0000 0.0000 Pt
0.0000 0.0000 0.0000 Ba
0.5000 0.5000 0.5000 Si


(11)
MgBi2Rh SCAN PBEsol geometry; symmetry = I-42d, No. 122; total energy = -393.1 eV for the cell shown; total moment = 0.000 μB per cell; ΔE_f = -0.159 eV per atom
1.0
-2.0430 -2.2792 -4.0245
-4.1728 -5.1910 1.8819
-6.0016 2.9422 -1.7957
Rh Bi Mg
2 4 2
direct
0.7500 0.5000 0.5000 Rh
0.0000 0.0000 0.0000 Rh
0.0128 0.6122 0.1122 Bi
0.7372 0.3878 0.8878 Bi
0.3750 0.8878 0.6122 Bi
0.8750 0.1122 0.3878 Bi
0.5000 0.0000 0.0000 Mg
0.2500 0.5000 0.5000 Mg


(12)
HfReBRh2 SCAN PBEsol geometry; symmetry = P4/mmm, No. 123; total energy = -199.3 eV for the cell shown; total moment = 3.282 μB per cell; ΔE_f = 1.883 eV per atom
1.0
4.2151 0.0000 0.0000
0.0000 4.6219 0.0000
0.0000 0.0000 4.6219
Rh Hf B Re
2 1 1 1
direct
0.0000 0.5000 0.0000 Rh
0.0000 0.0000 0.5000 Rh
0.0000 0.0000 0.0000 Hf
0.5000 0.0000 0.0000 B
0.5000 0.5000 0.5000 Re


(13)
K2SrP SCAN PBEsol geometry; symmetry = Immm, No. 71; total energy = -51.2 eV for the cell shown; total moment = 0.046 μB per cell; ΔE_f = -0.469 eV per atom
1.0
-2.2977 -3.2370 0.2808
1.2164 -0.4817 4.4002
-6.7681 7.2740 0.2729
K Sr P
2 1 1
direct
0.1508 0.1508 0.3017 K
0.8492 0.8492 0.6983 K
0.0000 0.5000 0.0000 Sr
0.5000 0.0000 0.0000 P


(14)
CdReH2Cl SCAN PBEsol geometry; symmetry = P4/mmm, No. 123; total energy = -108.5 eV for the cell shown; total moment = 2.859 μB per cell
1.0
3.7010 0.0000 0.0000
0.0000 3.7010 0.0000
0.0000 0.0000 6.5210
Cl H Re Cd
1 2 1 1
direct
0.0000 0.0000 0.0000 Cl
0.5000 0.0000 0.0000 H
0.0000 0.5000 0.0000 H
0.5000 0.5000 0.5000 Re
0.0000 0.0000 0.5000 Cd


(15)
Li2InMo SCAN PBEsol geometry; symmetry = P4/mmm, No. 123; total energy = -72.1 eV for the cell shown; total moment = 0.000 μB per cell; ΔE_f = 0.236 eV per atom
1.0
-1.6678 -0.0194 2.1103
-1.8868 -1.1911 -1.5021
3.2313 -8.2441 2.4780
Mo Li In
1 2 1
direct
0.5000 0.5000 0.0000 Mo
0.0000 0.0000 0.2435 Li
0.0000 0.0000 0.7565 Li
0.5000 0.5000 0.5000 In


(16)
SbIr2Br SCAN PBEsol geometry; energy relative to the elements, uncorrected = 1.039 eV per atom; symmetry = P4/mmm, No. 123; total energy = -194.8 eV for the cell shown; total moment = 0.000 μB per cell
1.0
3.5389 0.0000 0.0000
0.0000 4.4040 0.0000
0.0000 0.0000 4.4040
Ir Sb Br
2 1 1
direct
0.0000 0.5000 0.0000 Ir
0.0000 0.0000 0.5000 Ir
0.5000 0.5000 0.5000 Sb
0.5000 0.0000 0.0000 Br


(17)
Ta2CrCl SCAN PBEsol geometry; energy relative to the elements, uncorrected = 0.066 eV per atom; symmetry = R3m, No. 160; total energy = -159.3 eV for the cell shown; total moment = 3.222 μB per cell; E above lowest polymorph = 0.000 eV per atom
1.0
2.9911 0.0000 0.0000
1.4956 2.5904 0.0000
1.4956 0.8635 8.8796
Cl Ta Cr
1 2 1
direct
0.5083 0.5083 0.4750 Cl
0.2438 0.2438 0.2687 Ta
0.0026 0.0026 0.9922 Ta
0.7453 0.7453 0.7642 Cr


(18)
TePt SCAN PBEsol geometry; energy relative to the elements, uncorrected = -0.498 eV per atom; symmetry = R-3m, No. 166; total energy = -216.9 eV for the cell shown; total moment = 0.000 μB per cell
1.0
-2.9965 2.5775 -0.0516
-3.2171 -0.7524 -2.1701
-4.8304 -2.4960 4.4261
Te Pt
2 2
direct
0.0987 0.0987 0.7038 Te
0.9013 0.9013 0.2962 Te
0.3699 0.3699 0.8902 Pt
0.6301 0.6301 0.1098 Pt


(19)
MnCu2Pt SCAN PBEsol geometry; symmetry = Pmm2, No. 25; total energy = -120.2 eV for the cell shown; total moment = 4.352 μB per cell; ΔE_f = -0.348 eV per atom
1.0
-2.0438 0.9321 -1.5743
-0.0690 -3.1105 -1.7521
-3.5042 -1.8633 3.4460
Pt Mn Cu
1 1 2
direct
0.5000 0.5000 0.7491 Pt
0.0000 0.0000 0.4951 Mn
0.0000 0.0000 0.0144 Cu
0.5000 0.5000 0.2414 Cu


(20)
NiSbSe4 SCAN PBEsol geometry; energy relative to the elements, uncorrected = 0.975 eV per atom; symmetry = F-43m, No. 216; total energy = -127.9 eV for the cell shown; total moment = 1.311 μB per cell
1.0
5.5845 0.0000 0.0000
2.7922 4.8363 0.0000
2.7922 1.6121 4.5597
Se Sb Ni
4 1 1
direct
0.8713 0.3762 0.3762 Se
0.3762 0.3762 0.8713 Se
0.3762 0.3762 0.3762 Se
0.3762 0.8713 0.3762 Se
0.0000 0.0000 0.0000 Sb
0.7500 0.7500 0.7500 Ni